[1]
A geometry-optimized LiYZn2Ag5 structure. Source: Alexandria via LeMat-Bulk, functional PBE.

ρ	6.97	g/cm³
total moment	0.0	μB/f.u.
E_form	-0.03	eV/atom
volume	182	Å³/cell

Unit cell a=4.793 b=4.793 c=7.942 alpha=90.00 beta=90.00 gamma=90.00
Sites, in units of the cell vectors:
1 Zn 0.500 0.500 0.850
2 Ag 0.500 0.000 0.264
3 Ag 0.000 0.500 0.736
4 Li 0.000 0.000 0.000
5 Ag 0.500 0.000 0.736
6 Zn 0.500 0.500 0.150
7 Y 0.000 0.000 0.500
8 Ag 0.500 0.500 0.500
9 Ag 0.000 0.500 0.264

=====

[2]
A geometry-optimized LiY2ZrAg structure. Source: Alexandria via LeMat-Bulk, functional PBE.

ρ	5.06	g/cm³
total moment	3.1	μB/f.u.
E_form	0.51	eV/atom
volume	126	Å³/cell

Unit cell a=5.368 b=4.375 c=5.368 alpha=90.00 beta=90.00 gamma=90.00
Sites, in units of the cell vectors:
1 Ag 0.000 0.500 0.000
2 Y 0.000 0.000 0.500
3 Li 0.000 0.000 0.000
4 Y 0.500 0.000 0.000
5 Zr 0.500 0.500 0.500

=====

[3]
A geometry-optimized LiZn7Ag12 structure. Source: Alexandria via LeMat-Bulk, functional PBE.

ρ	8.04	g/cm³
total moment	0.0	μB/f.u.
E_form	0.12	eV/atom
volume	363	Å³/cell

Unit cell a=7.202 b=7.202 c=7.202 alpha=97.35 beta=97.35 gamma=97.35
Sites, in units of the cell vectors:
1 Ag 0.429 0.429 0.143
2 Zn 0.640 0.942 0.942
3 Zn 0.058 0.360 0.058
4 Ag 0.429 0.143 0.429
5 Zn 0.058 0.058 0.360
6 Ag 0.236 0.236 0.758
7 Ag 0.143 0.429 0.429
8 Ag 0.242 0.764 0.764
9 Ag 0.236 0.758 0.236
10 Zn 0.942 0.640 0.942
11 Li 0.000 0.000 0.000
12 Zn 0.500 0.500 0.500
13 Ag 0.571 0.857 0.571
14 Zn 0.360 0.058 0.058
15 Ag 0.857 0.571 0.571
16 Zn 0.942 0.942 0.640
17 Ag 0.764 0.242 0.764
18 Ag 0.571 0.571 0.857
19 Ag 0.764 0.764 0.242
20 Ag 0.758 0.236 0.236

=====

[4]
A geometry-optimized Li7Zn6Ag16 structure. Source: Alexandria via LeMat-Bulk, functional PBE.

ρ	7.32	g/cm³
total moment	0.0	μB/f.u.
E_form	-0.09	eV/atom
volume	491	Å³/cell

Unit cell a=8.858 b=8.858 c=8.858 alpha=60.00 beta=60.00 gamma=60.00
Sites, in units of the cell vectors:
1 Zn 0.257 0.743 0.743
2 Ag 0.121 0.121 0.121
3 Li 0.500 0.000 0.000
4 Zn 0.257 0.743 0.257
5 Li 0.000 0.500 0.000
6 Zn 0.743 0.257 0.257
7 Ag 0.879 0.879 0.362
8 Ag 0.121 0.638 0.121
9 Ag 0.630 0.109 0.630
10 Li 0.000 0.500 0.500
11 Ag 0.121 0.121 0.638
12 Ag 0.879 0.362 0.879
13 Zn 0.257 0.257 0.743
14 Li 0.000 0.000 0.500
15 Ag 0.630 0.630 0.630
16 Ag 0.630 0.630 0.109
17 Ag 0.370 0.370 0.891
18 Ag 0.370 0.370 0.370
19 Ag 0.362 0.879 0.879
20 Ag 0.638 0.121 0.121
21 Zn 0.743 0.743 0.257
22 Zn 0.743 0.257 0.743
23 Li 0.500 0.500 0.000
24 Ag 0.879 0.879 0.879
25 Ag 0.891 0.370 0.370
26 Ag 0.370 0.891 0.370
27 Li 0.500 0.000 0.500
28 Li 0.500 0.500 0.500
29 Ag 0.109 0.630 0.630